TcPdRuW2 (GGA-PBE, optimized geometry); ΔE_f = 46.2 kcal/mol of atoms; SG = P4/mmm, No. 123; ρ = 11.06 g/cm³; DOS at the Fermi energy = 6.2 states/eV/cell
1.0
4.618 0.000 0.000
0.000 4.739 0.000
0.000 0.000 4.618
Ru Pd W Tc
1 1 2 1
Direct
0.500 0.500 0.500 Ru
0.000 0.500 0.000 Pd
0.000 0.000 0.500 W
0.500 0.000 0.000 W
0.000 0.000 0.000 Tc